(1)
First-principles (PBE) data for crystalline TaInNi at its relaxed geometry, as listed in Alexandria via LeMat-Bulk.

a b c (Å): 4.4323 4.4323 2.9420
angles (deg): 90.00 90.00 120.00
Closest atoms and distances in Å follow each position.
Element x y z (fractional)
Ta (0.0000, 0.0000, 0.0000)  2 Ta 2.94, 6 Ni 2.95, 6 In 2.95
In (0.3333, 0.6667, 0.4999)  3 Ni 2.56
Ni (0.6667, 0.3333, 0.5018)  3 In 2.56

Energy of formation from the pure elements   0.133 eV/atom
Magnetic moment   0.0 μB/f.u.



(2)
First-principles (PBE) data for crystalline TaInNi at its relaxed geometry, as listed in Alexandria via LeMat-Bulk.

a b c (Å): 3.0096 3.0096 11.0765
angles (deg): 90.00 90.00 90.00
Closest atoms and distances in Å follow each position.
Element x y z (fractional)
Ta (0.0000, 0.0000, 0.0000)  4 Ni 2.61
Ta (0.5000, 0.5000, 0.5000)  4 Ni 2.61
In (0.0000, 0.0000, 0.2990)  4 Ni 2.79, 4 In 3.01, 4 Ta 3.08
In (0.5000, 0.5000, 0.7990)  4 Ni 2.79, 4 In 3.01, 4 Ta 3.08
Ni (0.0000, 0.0000, 0.6359)  4 Ta 2.61, 4 In 2.79
Ni (0.5000, 0.5000, 0.1359)  4 Ta 2.61, 4 In 2.79

Energy of formation from the pure elements   -0.039 eV/atom
Magnetic moment   0.0 μB/f.u.



(3)
First-principles (PBE) data for crystalline TaIn3Ni at its relaxed geometry, as listed in Alexandria via LeMat-Bulk.

a b c (Å): 5.3785 5.3785 5.3785
angles (deg): 90.00 90.00 90.00
Closest atoms and distances in Å follow each position.
Element x y z (fractional)
Ta (0.0000, 0.0000, 0.0000)  6 In 2.69
In (0.0000, 0.0000, 0.5000)  2 Ta 2.69
In (0.0000, 0.5000, 0.0000)  2 Ta 2.69
In (0.5000, 0.0000, 0.0000)  2 Ta 2.69
Ni (0.5000, 0.5000, 0.5000)  12 In 3.80

Energy of formation from the pure elements   1.246 eV/atom
Magnetic moment   1.0 μB/f.u.



(4)
First-principles (PBE) data for crystalline TaIn2Ni at its relaxed geometry, as listed in Alexandria via LeMat-Bulk.

a b c (Å): 7.4370 7.4370 5.5861
angles (deg): 90.00 90.00 90.00
Closest atoms and distances in Å follow each position.
Element x y z (fractional)
Ta (0.0000, 0.0000, 0.0000)  2 Ni 2.79, 4 In 2.94
Ta (0.0000, 0.5000, 0.2500)  2 Ni 2.79, 4 In 2.94
Ta (0.5000, 0.0000, 0.7500)  2 Ni 2.79, 4 In 2.94
Ta (0.5000, 0.5000, 0.5000)  2 Ni 2.79, 4 In 2.94
In (0.2088, 0.2500, 0.6250)  2 Ni 2.52
In (0.2500, 0.7088, 0.8750)  2 Ni 2.52
In (0.2500, 0.7912, 0.3750)  2 Ni 2.52
In (0.2912, 0.2500, 0.1250)  2 Ni 2.52
In (0.7088, 0.7500, 0.1250)  2 Ni 2.52
In (0.7500, 0.2088, 0.3750)  2 Ni 2.52
In (0.7500, 0.2912, 0.8750)  2 Ni 2.52
In (0.7912, 0.7500, 0.6250)  2 Ni 2.52
Ni (0.0000, 0.0000, 0.5000)  4 In 2.52, 2 Ta 2.79
Ni (0.0000, 0.5000, 0.7500)  4 In 2.52, 2 Ta 2.79
Ni (0.5000, 0.0000, 0.2500)  4 In 2.52, 2 Ta 2.79
Ni (0.5000, 0.5000, 0.0000)  4 In 2.52, 2 Ta 2.79

Energy of formation from the pure elements   0.463 eV/atom
Magnetic moment   0.0 μB/f.u.